Run a
The following is a DFT calculation (GGA-PBE) of a relaxed Cu2IrRu crystal.

DOS(E_F) = 4.0 states/eV/cell
symmetry = Cm
calculated density = 13.1 g/cm³

Unit cell a=4.5891 b=4.5891 c=4.5617 alpha=80.81 beta=80.81 gamma=34.32
Element x y z (fractional)
Cu (0.9994, 0.9994, 0.0259)
Cu (0.2496, 0.2496, 0.2248)
Ir (0.4987, 0.4987, 0.5262)
Ru (0.7523, 0.7523, 0.7231)

Run b
The following is a DFT calculation (GGA-PBE) of a relaxed Cu2IrRu crystal.

DOS(E_F) = 3.0 states/eV/cell
symmetry = P4mm
calculated density = 13.2 g/cm³

Unit cell a=2.7311 b=2.7311 c=7.1052 alpha=90.00 beta=90.00 gamma=90.00
Element x y z (fractional)
Ru (0.5000, 0.5000, 0.7504)
Ir (0.0000, 0.0000, 0.5006)
Cu (0.0000, 0.0000, 0.0103)
Cu (0.5000, 0.5000, 0.2387)

Decreasing stability: run b, run a

Run a
The following is a DFT calculation (GGA-PBE) of a relaxed Cu2IrRu crystal.

DOS(E_F) = 6.0 states/eV/cell
symmetry = Cmmm
calculated density = 13.1 g/cm³

Unit cell a=4.6410 b=4.6410 c=2.6487 alpha=90.00 beta=90.00 gamma=110.92
Site moments in Bohr magnetons follow the coordinates.
Element x y z (fractional)
Cu (0.0000, 0.0000, 0.0000)  0.01
Cu (0.5000, 0.5000, 0.0000)  0.01
Ir (0.5000, 0.0000, 0.5000)  0.02
Ru (0.0000, 0.5000, 0.5000)  0.09

Run b
The following is a DFT calculation (GGA-PBE) of a relaxed Cu2IrRu crystal.

DOS(E_F) = 2.8 states/eV/cell
symmetry = Pmm2
calculated density = 13.0 g/cm³

Unit cell a=3.7473 b=2.7146 c=5.9325 alpha=62.75 beta=90.00 gamma=90.00
Element x y z (fractional)
Cu (0.0000, 0.9834, 0.0164)
Cu (0.5000, 0.2659, 0.2338)
Ir (0.0000, 0.4832, 0.5169)
Ru (0.5000, 0.7676, 0.7329)

Run c
The following is a DFT calculation (GGA-PBE) of a relaxed Cu2IrRu crystal.

DOS(E_F) = 3.7 states/eV/cell
symmetry = F-43m
calculated density = 13.0 g/cm³

Unit cell a=4.2368 b=4.2368 c=4.2368 alpha=60.00 beta=60.00 gamma=60.00
Element x y z (fractional)
Cu (0.0000, 0.0000, 0.0000)
Cu (0.7500, 0.7500, 0.7500)
Ir (0.5000, 0.5000, 0.5000)
Ru (0.2500, 0.2500, 0.2500)

Decreasing stability: run b, run c, run a

Run a
The following is a DFT calculation (GGA-PBE) of a relaxed Cu2IrRu crystal.

DOS(E_F) = 5.6 states/eV/cell
symmetry = I4/mmm
calculated density = 13.1 g/cm³

Unit cell a=4.6297 b=4.6297 c=4.6297 alpha=132.31 beta=132.31 gamma=69.74
Element x y z (fractional)
Cu (0.0000, 0.0000, 0.0000)
Cu (0.5000, 0.5000, 0.0000)
Ir (0.2500, 0.7500, 0.5000)
Ru (0.7500, 0.2500, 0.5000)

Run b
The following is a DFT calculation (GGA-PBE) of a relaxed Cu2IrRu crystal.

DOS(E_F) = 4.2 states/eV/cell
symmetry = P2/m
calculated density = 12.8 g/cm³

Unit cell a=4.4722 b=2.6404 c=4.6093 alpha=89.04 beta=90.00 gamma=90.00
Element x y z (fractional)
Cu (0.0000, 0.0131, 0.9977)
Cu (0.0000, 0.4869, 0.5023)
Ir (0.5000, 0.2500, 0.2500)
Ru (0.5000, 0.7500, 0.7500)

Decreasing stability: run b, run a

Run a
The following is a DFT calculation (GGA-PBE) of a relaxed CuIrRu crystal.

DOS(E_F) = 3.9 states/eV/cell
symmetry = Fmm2
calculated density = 14.0 g/cm³

Unit cell a=7.1415 b=6.8978 c=2.6725 alpha=84.21 beta=73.93 gamma=21.86
Site moments in Bohr magnetons follow the coordinates.
Element x y z (fractional)
Cu (0.0003, 0.0003, 0.9997)  0.04
Ir (0.3339, 0.3339, 0.6661)  0.14
Ru (0.6659, 0.6659, 0.3341)  0.90

Run b
The following is a DFT calculation (GGA-PBE) of a relaxed CuIrRu crystal.

DOS(E_F) = 3.2 states/eV/cell
symmetry = I4mm
calculated density = 14.4 g/cm³

Unit cell a=5.8664 b=5.8664 c=5.8664 alpha=153.14 beta=153.14 gamma=38.35
Element x y z (fractional)
Cu (0.0003, 0.0003, 0.0000)
Ir (0.3300, 0.3300, 0.0000)
Ru (0.6697, 0.6697, 0.0000)

Decreasing stability: run b, run a

Run a
The following is a DFT calculation (GGA-PBE) of a relaxed CuIrRu crystal.

DOS(E_F) = 2.9 states/eV/cell
symmetry = Imm2
calculated density = 14.6 g/cm³

Unit cell a=4.5960 b=4.5960 c=4.5960 alpha=145.36 beta=131.93 gamma=60.60
Element x y z (fractional)
Cu (0.9999, 0.9999, 0.0000)
Ir (0.6680, 0.6680, 0.0000)
Ru (0.3321, 0.3321, 0.0000)

Run b
The following is a DFT calculation (GGA-PBE) of a relaxed CuIrRu crystal.

DOS(E_F) = 12.9 states/eV/cell
symmetry = C2/m
calculated density = 14.6 g/cm³

Unit cell a=4.6386 b=7.9338 c=4.6366 alpha=90.00 beta=107.55 gamma=90.00
Element x y z (fractional)
Ru (0.0000, 0.8328, 0.0000)
Ru (0.0000, 0.1672, 0.0000)
Ru (0.0000, 0.3328, 0.5000)
Ru (0.0000, 0.6672, 0.5000)
Ir (0.5000, 0.1672, 0.5000)
Ir (0.5000, 0.8328, 0.5000)
Ir (0.5000, 0.6672, 0.0000)
Ir (0.5000, 0.3328, 0.0000)
Cu (0.0000, 0.5000, 0.0000)
Cu (0.0000, 0.0000, 0.5000)
Cu (0.5000, 0.5000, 0.5000)
Cu (0.5000, 0.0000, 0.0000)

Run c
The following is a DFT calculation (GGA-PBE) of a relaxed CuIrRu crystal.

DOS(E_F) = 4.3 states/eV/cell
symmetry = P4/nmm
calculated density = 14.5 g/cm³

Unit cell a=2.7175 b=2.7175 c=11.0372 alpha=90.00 beta=90.00 gamma=90.00
Element x y z (fractional)
Cu (0.0000, 0.5000, 0.5752)
Cu (0.5000, 0.0000, 0.4248)
Ir (0.0000, 0.5000, 0.2563)
Ir (0.5000, 0.0000, 0.7437)
Ru (0.5000, 0.0000, 0.0900)
Ru (0.0000, 0.5000, 0.9100)

Run d
The following is a DFT calculation (GGA-PBE) of a relaxed CuIrRu crystal.

DOS(E_F) = 1.9 states/eV/cell
symmetry = P3m1
calculated density = 14.4 g/cm³

Unit cell a=2.6990 b=2.6990 c=6.5215 alpha=90.00 beta=90.00 gamma=120.00
Element x y z (fractional)
Ru (0.6667, 0.3333, 0.0074)
Ir (0.0000, 0.0000, 0.6769)
Cu (0.3333, 0.6667, 0.3405)

Decreasing stability: run c, run d, run a, run b